# InTcNF2

InTcNF2 after structural relaxation (GGA-PBE, Alexandria).

The density of states at the Fermi level comes out at 1.09 states/eV/f.u. Its uncorrected formation energy is -8.5 kJ/mol of atoms.

```
InTcNF2
1.0
4.2308 0.0000 0.0000
0.0000 4.2308 0.0000
0.0000 0.0000 4.2758
In Tc N F
1 1 1 2
Direct
0.0000 0.0000 0.0000
0.5000 0.5000 0.5000
0.0000 0.0000 0.5000
0.0000 0.5000 0.0000
0.5000 0.0000 0.0000
```